Record 1
# Sr2NdNbCu2O8 | the Alexandria database | PBE | relaxed
data_Sr2NdNbCu2O8
_cell_length_a 5.5403
_cell_length_b 5.5403
_cell_length_c 12.4875
_cell_angle_alpha 77.19
_cell_angle_beta 77.19
_cell_angle_gamma 89.99
_symmetry_space_group_name_H-M 'P 1'
_symmetry_Int_Tables_number 1
_symmetry_space_group_name_Hall 'P 1'
loop_
_atom_site_label
_atom_site_fract_x
_atom_site_fract_y
_atom_site_fract_z
O1 0.9294 0.4080 0.1668
O2 0.5637 0.0672 0.3694
O3 0.0706 0.5920 0.8332
O4 0.4080 0.9294 0.1668
O5 0.1825 0.8175 0.0000
O6 0.4321 0.4321 0.6323
O7 0.5679 0.5679 0.3677
O8 0.9328 0.4363 0.6306
O9 0.5920 0.0706 0.8332
O10 0.0672 0.5637 0.3694
O11 0.6789 0.6789 0.0080
O12 0.9373 0.9373 0.6288
O13 0.0627 0.0627 0.3712
O14 0.3211 0.3211 0.9920
O15 0.4363 0.9328 0.6306
O16 0.8175 0.1825 0.0000
Nb1 0.0000 0.5000 0.0000
Nb2 0.5000 0.0000 0.0000
Nd1 0.7500 0.7500 0.4999
Nd2 0.2500 0.2500 0.5001
Sr1 0.3982 0.3982 0.1990
Sr2 0.6018 0.6018 0.8010
Sr3 0.9019 0.9019 0.1983
Sr4 0.0981 0.0981 0.8017
Cu1 0.8219 0.3217 0.3565
Cu2 0.1781 0.6783 0.6435
Cu3 0.6783 0.1781 0.6435
Cu4 0.3217 0.8219 0.3565
# E_form (uncorrected)	-2296.1	meV per atom
# total moment	0.00	μB per formula unit
# final energy	-0.5156	Ry per atom



Record 2
# LaNdDy2Tl4 | the Alexandria database | PBE | relaxed
data_LaNdDy2Tl4
_cell_length_a 5.4740
_cell_length_b 5.4740
_cell_length_c 9.5003
_cell_angle_alpha 73.26
_cell_angle_beta 73.26
_cell_angle_gamma 60.00
_symmetry_space_group_name_H-M 'P 1'
_symmetry_Int_Tables_number 1
_symmetry_space_group_name_Hall 'P 1'
loop_
_atom_site_label
_atom_site_fract_x
_atom_site_fract_y
_atom_site_fract_z
Tl1 0.8742 0.8742 0.3774
Tl2 0.1258 0.1258 0.6226
Tl3 0.6241 0.6241 0.1276
Tl4 0.3759 0.3759 0.8724
Nd1 0.5000 0.5000 0.5000
La1 0.0000 0.0000 0.0000
Dy1 0.2498 0.2498 0.2506
Dy2 0.7502 0.7502 0.7494
# total moment	0.00	μB per formula unit
# final energy	-0.2878	Ry per atom
# formation energy	-0.37	eV per atom



Record 3
# ScTlSN2 | the Alexandria database | PBE | relaxed
data_ScTlSN2
_cell_length_a 4.1723
_cell_length_b 4.1723
_cell_length_c 5.4061
_cell_angle_alpha 90.00
_cell_angle_beta 90.00
_cell_angle_gamma 90.00
_symmetry_space_group_name_H-M 'P 1'
_symmetry_Int_Tables_number 1
_symmetry_space_group_name_Hall 'P 1'
loop_
_atom_site_label
_atom_site_fract_x
_atom_site_fract_y
_atom_site_fract_z
N1 0.0000 0.5000 0.0000
N2 0.5000 0.0000 0.0000
Sc1 0.5000 0.5000 0.5000
S1 0.0000 0.0000 0.5000
Tl1 0.0000 0.0000 0.0000
# E_form (uncorrected)	1152.7	meV per atom
# distance to the lowest polymorph of the same formula	738	meV per atom
# total moment	1.44	μB per formula unit
# final energy	-0.3486	Ry per atom



Record 4
# TbY3Er2P6 | the Alexandria database | PBE | relaxed
data_TbY3Er2P6
_cell_length_a 6.9299
_cell_length_b 6.9299
_cell_length_c 6.9307
_cell_angle_alpha 99.58
_cell_angle_beta 99.58
_cell_angle_gamma 119.99
_symmetry_space_group_name_H-M 'P 1'
_symmetry_Int_Tables_number 1
_symmetry_space_group_name_Hall 'P 1'
loop_
_atom_site_label
_atom_site_fract_x
_atom_site_fract_y
_atom_site_fract_z
P1 0.5819 0.9172 0.7517
P2 0.0828 0.4181 0.2483
P3 0.9172 0.5819 0.7517
P4 0.7473 0.7473 0.2480
P5 0.4181 0.0828 0.2483
P6 0.2527 0.2527 0.7520
Er1 0.6668 0.3332 0.0000
Er2 0.3332 0.6668 0.0000
Y1 0.1663 0.8337 0.5000
Y2 0.5000 0.5000 0.5000
Y3 0.8337 0.1663 0.5000
Tb1 0.0000 0.0000 0.0000
# total moment	0.00	μB per formula unit
# final energy	-0.5209	Ry per atom
# formation energy	-1.62	eV per atom



Record 5
# Sr3CaTb2Te6 | the Alexandria database | PBE | relaxed
data_Sr3CaTb2Te6
_cell_length_a 7.8704
_cell_length_b 7.8704
_cell_length_c 7.9646
_cell_angle_alpha 99.47
_cell_angle_beta 99.47
_cell_angle_gamma 119.98
_symmetry_space_group_name_H-M 'P 1'
_symmetry_Int_Tables_number 1
_symmetry_space_group_name_Hall 'P 1'
loop_
_atom_site_label
_atom_site_fract_x
_atom_site_fract_y
_atom_site_fract_z
Tb1 0.3335 0.6665 0.0000
Tb2 0.6665 0.3335 0.0000
Te1 0.4142 0.0776 0.2328
Te2 0.0776 0.4142 0.2328
Te3 0.7408 0.7408 0.2318
Te4 0.9224 0.5858 0.7672
Te5 0.5858 0.9224 0.7672
Te6 0.2592 0.2592 0.7682
Sr1 0.8345 0.1655 0.5000
Sr2 0.5000 0.5000 0.5000
Sr3 0.1655 0.8345 0.5000
Ca1 0.0000 0.0000 0.0000
# E_form (uncorrected)	-1560.7	meV per atom
# total moment	0.00	μB per formula unit
# final energy	-0.3300	Ry per atom



Record 6
# NbV2Mo6W3 | the Alexandria database | PBE | relaxed
data_NbV2Mo6W3
_cell_length_a 5.2361
_cell_length_b 5.2361
_cell_length_c 9.9811
_cell_angle_alpha 101.25
_cell_angle_beta 101.25
_cell_angle_gamma 129.19
_symmetry_space_group_name_H-M 'P 1'
_symmetry_Int_Tables_number 1
_symmetry_space_group_name_Hall 'P 1'
loop_
_atom_site_label
_atom_site_fract_x
_atom_site_fract_y
_atom_site_fract_z
W1 0.5000 0.5000 0.5000
W2 0.1665 0.8335 0.5000
W3 0.8335 0.1665 0.5000
Mo1 0.9200 0.5835 0.7521
Mo2 0.2523 0.2523 0.7528
Mo3 0.4165 0.0800 0.2479
Mo4 0.7477 0.7477 0.2472
Mo5 0.5835 0.9200 0.7521
Mo6 0.0800 0.4165 0.2479
V1 0.6686 0.3314 0.0000
V2 0.3314 0.6686 0.0000
Nb1 0.0000 0.0000 0.0000
# total moment	0.00	μB per formula unit
# final energy	-0.8145	Ry per atom
# formation energy	-0.07	eV per atom



Record 7
# Na2Sc2F7 | the Alexandria database | PBE | relaxed
data_Na2Sc2F7
_cell_length_a 5.5023
_cell_length_b 5.2494
_cell_length_c 5.2494
_cell_angle_alpha 85.56
_cell_angle_beta 90.11
_cell_angle_gamma 90.11
_symmetry_space_group_name_H-M 'P 1'
_symmetry_Int_Tables_number 1
_symmetry_space_group_name_Hall 'P 1'
loop_
_atom_site_label
_atom_site_fract_x
_atom_site_fract_y
_atom_site_fract_z
Sc1 0.9999 0.2722 0.2722
Sc2 0.0001 0.7278 0.7278
F1 0.7711 0.4998 0.9993
F2 0.2232 0.5006 0.5006
F3 0.7768 0.4994 0.4994
F4 0.7711 0.9993 0.4998
F5 0.0000 0.0000 0.0000
F6 0.2289 0.0007 0.5002
F7 0.2289 0.5002 0.0007
Na1 0.5000 0.2608 0.7392
Na2 0.5000 0.7392 0.2608
# E_form (uncorrected)	-3327.2	meV per atom
# total moment	0.93	μB per formula unit
# final energy	-0.4343	Ry per atom



Record 8
# Sr2MgTlPt | the Alexandria database | PBE | relaxed
data_Sr2MgTlPt
_cell_length_a 5.8534
_cell_length_b 5.8534
_cell_length_c 5.1044
_cell_angle_alpha 90.00
_cell_angle_beta 90.00
_cell_angle_gamma 90.00
_symmetry_space_group_name_H-M 'P 1'
_symmetry_Int_Tables_number 1
_symmetry_space_group_name_Hall 'P 1'
loop_
_atom_site_label
_atom_site_fract_x
_atom_site_fract_y
_atom_site_fract_z
Sr1 0.5000 0.0000 0.0000
Sr2 0.0000 0.5000 0.0000
Pt1 0.0000 0.0000 0.0000
Mg1 0.0000 0.0000 0.5000
Tl1 0.5000 0.5000 0.5000
# total moment	0.00	μB per formula unit
# final energy	-0.2292	Ry per atom
# formation energy	-0.45	eV per atom



Record 9
# KTc2RhF | the Alexandria database | PBE | relaxed
data_KTc2RhF
_cell_length_a 4.1388
_cell_length_b 5.1474
_cell_length_c 4.1388
_cell_angle_alpha 90.00
_cell_angle_beta 90.00
_cell_angle_gamma 90.00
_symmetry_space_group_name_H-M 'P 1'
_symmetry_Int_Tables_number 1
_symmetry_space_group_name_Hall 'P 1'
loop_
_atom_site_label
_atom_site_fract_x
_atom_site_fract_y
_atom_site_fract_z
Tc1 0.5000 0.0000 0.0000
Tc2 0.0000 0.0000 0.5000
K1 0.5000 0.5000 0.5000
Rh1 0.0000 0.5000 0.0000
F1 0.0000 0.0000 0.0000
# E_form (uncorrected)	1232.7	meV per atom
# total moment	0.00	μB per formula unit
# final energy	-0.3659	Ry per atom



Record 10
# Te2RhI | the Alexandria database | PBE | relaxed
data_Te2RhI
_cell_length_a 16.0915
_cell_length_b 6.4512
_cell_length_c 6.4512
_cell_angle_alpha 82.87
_cell_angle_beta 127.67
_cell_angle_gamma 52.33
_symmetry_space_group_name_H-M 'P 1'
_symmetry_Int_Tables_number 1
_symmetry_space_group_name_Hall 'P 1'
loop_
_atom_site_label
_atom_site_fract_x
_atom_site_fract_y
_atom_site_fract_z
Te1 0.4659 0.2003 0.4813
Te2 0.5426 0.2877 0.0308
Te3 0.0426 0.4692 0.2123
Te4 0.9659 0.0187 0.2997
I1 0.7546 0.4029 0.4160
I2 0.2546 0.0840 0.0971
Rh1 0.7542 0.6837 0.6955
Rh2 0.2542 0.8045 0.8163
# E_form (uncorrected)	-63.4	meV per atom
# total moment	0.00	μB per formula unit
# final energy	-0.2837	Ry per atom



Record 11
# Sr2LiIn2 | the Alexandria database | PBE | relaxed
data_Sr2LiIn2
_cell_length_a 6.5992
_cell_length_b 6.5992
_cell_length_c 6.3090
_cell_angle_alpha 58.47
_cell_angle_beta 58.47
_cell_angle_gamma 90.00
_symmetry_space_group_name_H-M 'P 1'
_symmetry_Int_Tables_number 1
_symmetry_space_group_name_Hall 'P 1'
loop_
_atom_site_label
_atom_site_fract_x
_atom_site_fract_y
_atom_site_fract_z
Li1 0.0000 0.0000 0.0000
Sr1 0.2500 0.7500 0.5000
Sr2 0.7500 0.2500 0.5000
In1 0.6634 0.6634 0.6733
In2 0.3366 0.3366 0.3267
# distance to the lowest polymorph of the same formula	213	meV per atom
# total moment	0.00	μB per formula unit
# final energy	-0.1679	Ry per atom
# formation energy	-0.13	eV per atom



Record 12
# Nd5GeSe4 | the Alexandria database | PBE | relaxed
data_Nd5GeSe4
_cell_length_a 5.9957
_cell_length_b 7.3740
_cell_length_c 7.3740
_cell_angle_alpha 80.49
_cell_angle_beta 66.01
_cell_angle_gamma 66.01
_symmetry_space_group_name_H-M 'P 1'
_symmetry_Int_Tables_number 1
_symmetry_space_group_name_Hall 'P 1'
loop_
_atom_site_label
_atom_site_fract_x
_atom_site_fract_y
_atom_site_fract_z
Nd1 0.7077 0.1958 0.3906
Nd2 0.0984 0.6094 0.1958
Nd3 0.9036 0.3906 0.8042
Nd4 0.2942 0.8042 0.6094
Nd5 0.5012 0.0000 0.0000
Se1 0.1999 0.2019 0.4002
Se2 0.8021 0.7981 0.5998
Se3 0.6001 0.5998 0.2019
Se4 0.4019 0.4002 0.7981
Ge1 0.0012 0.0000 0.0000
# E_form (uncorrected)	-1705.3	meV per atom
# total moment	0.00	μB per formula unit
# final energy	-0.4369	Ry per atom



Record 13
# Pr6Dy5Ho2 | the Alexandria database | PBE | relaxed
data_Pr6Dy5Ho2
_cell_length_a 3.6393
_cell_length_b 11.7497
_cell_length_c 20.7574
_cell_angle_alpha 90.00
_cell_angle_beta 90.00
_cell_angle_gamma 90.00
_symmetry_space_group_name_H-M 'P 1'
_symmetry_Int_Tables_number 1
_symmetry_space_group_name_Hall 'P 1'
loop_
_atom_site_label
_atom_site_fract_x
_atom_site_fract_y
_atom_site_fract_z
Pr1 0.0000 0.9390 0.9195
Pr2 0.0000 0.5610 0.4195
Pr3 0.5000 0.3274 0.1357
Pr4 0.0000 0.4158 0.8676
Pr5 0.5000 0.6726 0.8643
Pr6 0.5000 0.1726 0.6357
Pr7 0.0000 0.5842 0.1324
Pr8 0.0000 0.9158 0.6324
Pr9 0.0000 0.0842 0.3676
Pr10 0.0000 0.0610 0.0805
Pr11 0.5000 0.8274 0.3643
Pr12 0.0000 0.4390 0.5805
Dy1 0.5000 0.0000 0.5000
Dy2 0.5000 0.5000 0.0000
Dy3 0.5000 0.0927 0.2270
Dy4 0.5000 0.1976 0.9438
Dy5 0.5000 0.6976 0.5562
Dy6 0.5000 0.9073 0.7730
Dy7 0.5000 0.5927 0.2730
Dy8 0.5000 0.4073 0.7270
Dy9 0.5000 0.3024 0.4438
Dy10 0.5000 0.8024 0.0562
Ho1 0.0000 0.6653 0.7100
Ho2 0.0000 0.3347 0.2900
Ho3 0.0000 0.1653 0.7900
Ho4 0.0000 0.8347 0.2100
# total moment	0.00	μB per formula unit
# final energy	-0.3364	Ry per atom
# formation energy	0.10	eV per atom



Record 14
# LiHoPb4 | the Alexandria database | PBE | relaxed
data_LiHoPb4
_cell_length_a 4.4764
_cell_length_b 3.5866
_cell_length_c 10.4344
_cell_angle_alpha 90.08
_cell_angle_beta 90.00
_cell_angle_gamma 90.00
_symmetry_space_group_name_H-M 'P 1'
_symmetry_Int_Tables_number 1
_symmetry_space_group_name_Hall 'P 1'
loop_
_atom_site_label
_atom_site_fract_x
_atom_site_fract_y
_atom_site_fract_z
Pb1 0.5000 0.5001 0.1668
Pb2 0.0000 0.9993 0.3435
Pb3 0.0000 0.0007 0.6565
Pb4 0.5000 0.4999 0.8332
Li1 0.5000 0.5000 0.5000
Ho1 0.0000 0.0000 0.0000
# total moment	0.00	μB per formula unit
# final energy	-0.2738	Ry per atom
# formation energy	-0.17	eV per atom